(1)
Cr2CdIr after structural relaxation, computed with PBE-GGA.

CIF file:
```
data_Cr2CdIr
_cell_length_a 2.7324
_cell_length_b 3.9412
_cell_length_c 5.5406
_cell_angle_alpha 90.00
_cell_angle_beta 90.00
_cell_angle_gamma 90.00
_symmetry_space_group_name_H-M 'P m m m'
_symmetry_Int_Tables_number 47
loop_
_symmetry_equiv_pos_as_xyz
'x,y,z'
'-x,-y,-z'
'-x,-y,z'
'x,y,-z'
'x,-y,-z'
'-x,y,z'
'-x,y,-z'
'x,-y,z'
loop_
_atom_site_label
_atom_site_fract_x
_atom_site_fract_y
_atom_site_fract_z
Cr1 0.0000 0.0000 0.1955
Cd1 0.5000 0.5000 0.5000
Ir1 0.5000 0.5000 0.0000
```

Values from the calculation:
* size of the total moment: 0.0 μB per cell
* raw total energy: -27.9 eV for the cell shown
* D(E_F): 1.34 states/eV per atom
* ΔH_f (0 K): 0.274 eV/atom

=====

(2)
Cr2CdIr after structural relaxation, computed with PBE-GGA.

CIF file:
```
data_Cr2CdIr
_cell_length_a 2.8266
_cell_length_b 4.0566
_cell_length_c 5.4459
_cell_angle_alpha 90.00
_cell_angle_beta 103.05
_cell_angle_gamma 90.00
_symmetry_space_group_name_H-M 'P 1 m 1'
_symmetry_Int_Tables_number 6
loop_
_symmetry_equiv_pos_as_xyz
'x,y,z'
'x,-y,z'
loop_
_atom_site_label
_atom_site_fract_x
_atom_site_fract_y
_atom_site_fract_z
Cr1 0.0000 0.0000 0.0000
Cr2 0.2454 0.5000 0.2162
Cd1 0.3964 0.5000 0.7271
Ir1 0.7771 0.0000 0.4293
```

Values from the calculation:
* size of the total moment: 0.2 μB per cell
* raw total energy: -27.8 eV for the cell shown
* D(E_F): 0.75 states/eV per atom
* ΔH_f (0 K): 0.294 eV/atom

=====

(3)
CrCdMoIr2 after structural relaxation, computed with PBE-GGA.

CIF file:
```
data_CrCdMoIr2
_cell_length_a 4.7266
_cell_length_b 4.7266
_cell_length_c 4.5285
_cell_angle_alpha 90.00
_cell_angle_beta 90.00
_cell_angle_gamma 90.00
_symmetry_space_group_name_H-M 'P 4/m m m'
_symmetry_Int_Tables_number 123
_symmetry_space_group_name_Hall '-P 4 2'
loop_
_atom_site_label
_atom_site_fract_x
_atom_site_fract_y
_atom_site_fract_z
Cr1 0.0000 0.0000 0.0000
Cd1 0.0000 0.0000 0.5000
Mo1 0.5000 0.5000 0.0000
Ir1 0.0000 0.5000 0.5000
```

Values from the calculation:
* size of the total moment: 0.0 μB per cell
* raw total energy: -26.3 eV for the cell shown
* D(E_F): 1.31 states/eV per atom
* ΔH_f (0 K): 2.558 eV/atom